[1]
# Cu2HgMo, relaxed, DFT PBE
# * ΔE_f: 406 meV per atom
data_Cu2HgMo
_chemical_formula_sum 'Cu2 Hg1 Mo1'
_cell_length_a 4.2044
_cell_length_b 2.7159
_cell_length_c 5.5203
_cell_angle_alpha 75.56
_cell_angle_beta 90.00
_cell_angle_gamma 90.00
_space_group_name_H-M_alt 'P 1'
_space_group_IT_number 1
loop_
_space_group_symop_operation_xyz
'x,y,z'
loop_
_atom_site_label
_atom_site_fract_x
_atom_site_fract_y
_atom_site_fract_z
Cu1 0.0000 0.1925 0.9884
Cu2 0.5000 0.0643 0.2439
Hg1 0.0000 0.4502 0.4755
Mo1 0.5000 0.7930 0.7922

***

[2]
# KCaCuO2, relaxed, DFT PBE
# * uncorrected formation energy: -1569 meV/atom
data_KCaCuO2
_chemical_formula_sum 'K2 Ca2 Cu2 O4'
_cell_length_a 4.8830
_cell_length_b 6.6651
_cell_length_c 7.0301
_cell_angle_alpha 118.30
_cell_angle_beta 90.00
_cell_angle_gamma 90.00
_space_group_name_H-M_alt 'P 1'
_space_group_IT_number 1
loop_
_space_group_symop_operation_xyz
'x,y,z'
loop_
_atom_site_label
_atom_site_fract_x
_atom_site_fract_y
_atom_site_fract_z
K1 0.1533 0.7500 0.5000
K2 0.8467 0.2500 0.5000
Ca1 0.5000 0.7500 0.0000
Ca2 0.5000 0.2500 0.0000
Cu1 0.0000 0.0000 0.0000
Cu2 0.0000 0.5000 0.0000
O1 0.7174 0.9039 0.8079
O2 0.7174 0.5961 0.1921
O3 0.2826 0.4039 0.8079
O4 0.2826 0.0961 0.1921

***

[3]
# CeHo4Th2, relaxed, DFT PBE
# * ΔE_f: 216 meV per atom
data_CeHo4Th2
_chemical_formula_sum 'Ce1 Ho4 Th2'
_cell_length_a 3.5103
_cell_length_b 6.0713
_cell_length_c 11.7433
_cell_angle_alpha 111.00
_cell_angle_beta 90.00
_cell_angle_gamma 90.00
_space_group_name_H-M_alt 'P 1'
_space_group_IT_number 1
loop_
_space_group_symop_operation_xyz
'x,y,z'
loop_
_atom_site_label
_atom_site_fract_x
_atom_site_fract_y
_atom_site_fract_z
Th1 0.0000 0.5000 0.5000
Th2 0.5000 0.0000 0.5000
Ho1 0.5000 0.1625 0.2568
Ho2 0.5000 0.8375 0.7432
Ho3 0.0000 0.3638 0.7810
Ho4 0.0000 0.6362 0.2190
Ce1 0.0000 0.0000 0.0000